Record 1
This record from Alexandria describes crystalline InRh3S at its relaxed geometry. The functional is PBE.

```
InRh3S
1.0
4.410 0.000 0.000
0.000 4.410 0.000
0.000 0.000 4.410
In Rh S
1 3 1
Cartesian
0.000 0.000 0.000
0.000 2.205 2.205
2.205 0.000 2.205
2.205 2.205 0.000
2.205 2.205 2.205
```

E_form (uncorrected) = -0.06 eV/atom
energy above the most stable polymorph in this dataset = 0 meV per atom
calculated total energy = -29.23 eV/cell

Record 2
This record from Alexandria describes crystalline AsRu7 at its relaxed geometry. The functional is PBE.

```
AsRu7
1.0
0.000 3.834 3.834
3.834 0.000 3.834
3.834 3.834 0.000
As Ru
1 7
Cartesian
0.000 0.000 0.000
1.917 1.917 0.000
1.917 0.000 1.917
3.834 1.917 1.917
0.000 1.917 1.917
1.917 3.834 1.917
1.917 1.917 3.834
3.834 3.834 3.834
```

calculated total energy = -68.00 eV/cell

> calculated total energy of number 1 (InRh3S)?

-29.23 eV/cell

> calculated total energy of number 1 (InRh3S)?

-29.23 eV/cell

Copy entry 1 word for word.
This record from Alexandria describes crystalline InRh3S at its relaxed geometry. The functional is PBE.

```
InRh3S
1.0
4.410 0.000 0.000
0.000 4.410 0.000
0.000 0.000 4.410
In Rh S
1 3 1
Cartesian
0.000 0.000 0.000
0.000 2.205 2.205
2.205 0.000 2.205
2.205 2.205 0.000
2.205 2.205 2.205
```

E_form (uncorrected) = -0.06 eV/atom
energy above the most stable polymorph in this dataset = 0 meV per atom
calculated total energy = -29.23 eV/cell